Record 1
# MgB2H8

A geometry-optimized MgB2H8 structure (GGA-PBEsol, Alexandria).

**Total magnetization**: 0.000 μB/f.u.

Cell lengths 7.5411, 7.5411, 7.5411 Å; angles 80.39, 65.39, 114.61 degrees
Closest atoms and distances in Å follow each position.
Atoms (fractional coordinates):
H (0.7500, 0.4725, 0.2775)  1 B 1.23
H (0.7500, 0.2775, 0.9726)  1 B 1.23
H (0.2500, 0.2775, 0.4725)  1 B 1.23
H (0.2500, 0.9726, 0.2775)  1 B 1.23
H (0.9713, 0.7175, 0.9981)  1 B 1.23
H (0.0287, 0.0306, 0.2538)  1 B 1.23
H (0.0287, 0.9981, 0.7175)  1 B 1.23
H (0.9713, 0.2538, 0.0306)  1 B 1.23
H (0.2844, 0.0306, 0.9981)  1 B 1.23
H (0.7156, 0.7175, 0.2538)  1 B 1.23
H (0.7156, 0.9981, 0.0306)  1 B 1.23
H (0.2844, 0.2538, 0.7175)  1 B 1.23
H (0.6440, 0.5622, 0.0818)  1 B 1.24
H (0.3560, 0.2743, 0.0818)  1 B 1.24
H (0.3560, 0.0818, 0.5622)  1 B 1.24
H (0.6440, 0.0818, 0.2743)  1 B 1.24
Mg (0.5000, 0.2500, 0.2500)  8 H 2.01-2.05
Mg (0.0000, 0.0000, 0.0000)  8 H 2.05
B (0.2301, 0.0777, 0.1525)  4 H 1.23-1.24
B (0.7699, 0.6174, 0.1525)  4 H 1.23-1.24
B (0.7699, 0.1525, 0.0777)  4 H 1.23-1.24
B (0.2301, 0.1525, 0.6174)  4 H 1.23-1.24

***

Record 2
# MgB2H8

A geometry-optimized MgB2H8 structure (GGA-PBEsol, Alexandria).

**Total magnetization**: 0.000 μB/f.u.

Cell lengths 7.4387, 8.1169, 7.4387 Å; angles 62.73, 90.00, 117.27 degrees
Closest atoms and distances in Å follow each position.
Atoms (fractional coordinates):
Mg (0.2500, 0.5000, 0.7500)  8 H 2.05-2.09
Mg (0.7500, 0.5000, 0.2500)  8 H 2.05-2.09
Mg (0.5000, 0.0000, 0.0000)  8 H 2.05-2.09
Mg (0.0000, 0.0000, 0.5000)  8 H 2.05-2.09
B (0.5867, 0.2500, 0.1250)  4 H 1.23
B (0.0867, 0.2500, 0.1250)  4 H 1.23
B (0.6633, 0.2500, 0.6250)  4 H 1.23
B (0.1633, 0.2500, 0.6250)  4 H 1.23
B (0.6250, 0.7500, 0.5867)  4 H 1.23
B (0.6250, 0.7500, 0.0867)  4 H 1.23
B (0.1250, 0.7500, 0.6633)  4 H 1.23
B (0.1250, 0.7500, 0.1633)  4 H 1.23
H (0.6042, 0.0896, 0.2135)  1 B 1.23
H (0.1042, 0.0896, 0.1969)  1 B 1.23
H (0.2646, 0.4104, 0.0531)  1 B 1.23
H (0.7646, 0.4104, 0.0365)  1 B 1.23
H (0.4854, 0.0896, 0.6969)  1 B 1.23
H (0.9854, 0.0896, 0.7135)  1 B 1.23
H (0.1458, 0.4104, 0.5365)  1 B 1.23
H (0.6458, 0.4104, 0.5531)  1 B 1.23
H (0.6969, 0.9104, 0.6042)  1 B 1.23
H (0.7135, 0.9104, 0.1042)  1 B 1.23
H (0.5365, 0.5896, 0.2646)  1 B 1.23
H (0.5531, 0.5896, 0.7646)  1 B 1.23
H (0.2135, 0.9104, 0.4854)  1 B 1.23
H (0.1969, 0.9104, 0.9854)  1 B 1.23
H (0.0531, 0.5896, 0.1458)  1 B 1.23
H (0.0365, 0.5896, 0.6458)  1 B 1.23
H (0.4833, 0.2414, 0.2615)  1 B 1.23
H (0.9833, 0.2414, 0.9971)  1 B 1.23
H (0.9919, 0.2586, 0.2529)  1 B 1.23
H (0.4919, 0.2586, 0.9885)  1 B 1.23
H (0.7581, 0.2414, 0.4971)  1 B 1.23
H (0.2581, 0.2414, 0.7615)  1 B 1.23
H (0.2667, 0.2586, 0.4885)  1 B 1.23
H (0.7667, 0.2586, 0.7529)  1 B 1.23
H (0.4971, 0.7586, 0.4833)  1 B 1.23
H (0.7615, 0.7586, 0.9833)  1 B 1.23
H (0.4885, 0.7414, 0.9919)  1 B 1.23
H (0.7529, 0.7414, 0.4919)  1 B 1.23
H (0.2615, 0.7586, 0.7581)  1 B 1.23
H (0.9971, 0.7586, 0.2581)  1 B 1.23
H (0.2529, 0.7414, 0.2667)  1 B 1.23
H (0.9885, 0.7414, 0.7667)  1 B 1.23

***

Record 3
# MgB2H8

A geometry-optimized MgB2H8 structure (GGA-PBEsol, Alexandria).

**Total magnetization**: 0.000 μB/f.u.

Cell lengths 5.5354, 5.5354, 5.8477 Å; angles 90.00, 90.00, 90.00 degrees
Closest atoms and distances in Å follow each position.
Atoms (fractional coordinates):
H (0.7194, 0.4647, 0.7906)  1 B 1.23
H (0.2807, 0.5353, 0.7907)  1 B 1.23
H (0.5353, 0.7194, 0.2094)  1 B 1.23
H (0.4647, 0.2806, 0.2094)  1 B 1.23
H (0.6695, 0.1388, 0.9166)  1 B 1.23
H (0.3305, 0.8612, 0.9167)  1 B 1.23
H (0.8612, 0.6695, 0.0833)  1 B 1.23
H (0.1388, 0.3305, 0.0833)  1 B 1.23
H (0.9647, 0.2193, 0.7093)  1 B 1.23
H (0.0353, 0.7806, 0.7094)  1 B 1.23
H (0.7806, 0.9647, 0.2906)  1 B 1.23
H (0.2194, 0.0353, 0.2906)  1 B 1.23
H (0.6388, 0.1695, 0.5833)  1 B 1.23
H (0.3612, 0.8305, 0.5834)  1 B 1.23
H (0.8305, 0.6388, 0.4167)  1 B 1.23
H (0.1695, 0.3612, 0.4167)  1 B 1.23
Mg (0.0000, 0.0000, 0.0000)  8 H 2.04-2.10
Mg (0.5000, 0.5000, 0.5000)  8 H 2.04-2.10
B (0.7492, 0.2492, 0.7500)  4 H 1.23
B (0.2508, 0.7508, 0.7500)  4 H 1.23
B (0.7508, 0.7492, 0.2500)  4 H 1.23
B (0.2492, 0.2508, 0.2500)  4 H 1.23

***

Record 4
# MgB2H8

A geometry-optimized MgB2H8 structure (GGA-PBEsol, Alexandria).

**Total magnetization**: 0.000 μB/f.u.

Cell lengths 4.1970, 4.1970, 5.5081 Å; angles 90.00, 90.00, 120.00 degrees
Closest atoms and distances in Å follow each position.
Atoms (fractional coordinates):
H (0.6456, 0.8228, 0.2857)  1 B 1.23
H (0.1772, 0.8228, 0.2857)  1 B 1.23
H (0.1772, 0.3544, 0.2857)  1 B 1.23
H (0.3544, 0.1772, 0.7143)  1 B 1.23
H (0.8228, 0.1772, 0.7143)  1 B 1.23
H (0.8228, 0.6456, 0.7143)  1 B 1.23
H (0.3333, 0.6667, 0.9768)  1 B 1.23
H (0.6667, 0.3333, 0.0232)  1 B 1.23
Mg (0.0000, 0.0000, 0.0000)  6 H 2.03
B (0.3333, 0.6667, 0.1992)  4 H 1.23
B (0.6667, 0.3333, 0.8008)  4 H 1.23

***

Record 5
# MgB2H8

A geometry-optimized MgB2H8 structure (GGA-PBEsol, Alexandria).

**Total magnetization**: 0.000 μB/f.u.

Cell lengths 4.2434, 5.7022, 8.2751 Å; angles 90.00, 90.00, 90.00 degrees
Closest atoms and distances in Å follow each position.
Atoms (fractional coordinates):
H (0.2763, 0.9760, 0.5652)  1 B 1.24
H (0.5000, 0.0334, 0.3523)  1 B 1.21
H (0.5000, 0.9666, 0.8523)  1 B 1.21
H (0.0000, 0.4101, 0.3749)  1 B 1.24
H (0.0000, 0.7355, 0.2565)  1 B 1.23
H (0.2763, 0.0240, 0.0652)  1 B 1.24
H (0.7537, 0.5316, 0.6772)  1 B 1.23
H (0.2463, 0.4684, 0.1772)  1 B 1.23
H (0.0000, 0.2645, 0.7565)  1 B 1.23
H (0.5000, 0.7089, 0.4461)  1 B 1.24
H (0.7237, 0.0240, 0.0652)  1 B 1.24
H (0.0000, 0.5899, 0.8749)  1 B 1.24
H (0.7237, 0.9760, 0.5652)  1 B 1.24
H (0.2463, 0.5316, 0.6772)  1 B 1.23
H (0.7537, 0.4684, 0.1772)  1 B 1.23
H (0.5000, 0.2911, 0.9461)  1 B 1.24
Mg (0.0000, 0.7102, 0.5030)  8 H 1.98-2.17
Mg (0.0000, 0.2898, 0.0030)  8 H 1.98-2.17
B (0.0000, 0.5203, 0.2463)  4 H 1.23-1.24
B (0.0000, 0.4797, 0.7463)  4 H 1.23-1.24
B (0.5000, 0.0775, 0.9770)  4 H 1.21-1.24
B (0.5000, 0.9225, 0.4770)  4 H 1.21-1.24

***

Record 6
# MgB2H8

A geometry-optimized MgB2H8 structure (GGA-PBEsol, Alexandria).

**Total magnetization**: 0.000 μB/f.u.

Cell lengths 13.5386, 13.5386, 13.5386 Å; angles 109.47, 109.47, 109.47 degrees
Closest atoms and distances in Å follow each position.
Atoms (fractional coordinates):
Mg (0.6250, 0.2500, 0.8750)  8 H 2.03-2.04
Mg (0.8750, 0.7500, 0.6250)  8 H 2.03-2.04
Mg (0.7500, 0.1250, 0.3750)  8 H 2.03-2.04
Mg (0.2500, 0.3750, 0.1250)  8 H 2.03-2.04
Mg (0.3750, 0.6250, 0.7500)  8 H 2.03-2.04
Mg (0.1250, 0.8750, 0.2500)  8 H 2.03-2.04
Mg (0.3750, 0.7500, 0.1250)  8 H 2.03-2.04
Mg (0.1250, 0.2500, 0.3750)  8 H 2.03-2.04
Mg (0.2500, 0.8750, 0.6250)  8 H 2.03-2.04
Mg (0.7500, 0.6250, 0.8750)  8 H 2.03-2.04
Mg (0.6250, 0.3750, 0.2500)  8 H 2.03-2.04
Mg (0.8750, 0.1250, 0.7500)  8 H 2.03-2.04
B (0.6290, 0.3145, 0.0645)  4 H 1.23
B (0.7500, 0.5645, 0.4355)  4 H 1.23
B (0.7500, 0.1855, 0.8145)  4 H 1.23
B (0.8710, 0.9355, 0.6855)  4 H 1.23
B (0.5645, 0.9355, 0.2500)  4 H 1.23
B (0.3145, 0.5645, 0.1290)  4 H 1.23
B (0.9355, 0.1855, 0.3710)  4 H 1.23
B (0.1855, 0.3145, 0.2500)  4 H 1.23
B (0.3145, 0.7500, 0.6855)  4 H 1.23
B (0.1855, 0.8710, 0.4355)  4 H 1.23
B (0.5645, 0.6290, 0.8145)  4 H 1.23
B (0.9355, 0.7500, 0.0645)  4 H 1.23
B (0.3710, 0.6855, 0.9355)  4 H 1.23
B (0.2500, 0.4355, 0.5645)  4 H 1.23
B (0.2500, 0.8145, 0.1855)  4 H 1.23
B (0.1290, 0.0645, 0.3145)  4 H 1.23
B (0.4355, 0.0645, 0.7500)  4 H 1.23
B (0.6855, 0.4355, 0.8710)  4 H 1.23
B (0.0645, 0.8145, 0.6290)  4 H 1.23
B (0.8145, 0.6855, 0.7500)  4 H 1.23
B (0.6855, 0.2500, 0.3145)  4 H 1.23
B (0.8145, 0.1290, 0.5645)  4 H 1.23
B (0.4355, 0.3710, 0.1855)  4 H 1.23
B (0.0645, 0.2500, 0.9355)  4 H 1.23
H (0.6963, 0.2774, 0.0462)  1 B 1.23
H (0.7311, 0.6501, 0.4538)  1 B 1.23
H (0.7689, 0.2226, 0.9189)  1 B 1.23
H (0.8037, 0.8499, 0.5811)  1 B 1.23
H (0.6501, 0.9538, 0.2311)  1 B 1.23
H (0.2774, 0.5462, 0.1963)  1 B 1.23
H (0.8499, 0.0811, 0.3037)  1 B 1.23
H (0.2226, 0.4189, 0.2689)  1 B 1.23
H (0.4189, 0.7689, 0.7226)  1 B 1.23
H (0.0811, 0.8037, 0.3499)  1 B 1.23
H (0.5462, 0.6963, 0.7774)  1 B 1.23
H (0.9538, 0.7311, 0.1501)  1 B 1.23
H (0.3037, 0.7226, 0.9538)  1 B 1.23
H (0.2689, 0.3499, 0.5462)  1 B 1.23
H (0.2311, 0.7774, 0.0811)  1 B 1.23
H (0.1963, 0.1501, 0.4189)  1 B 1.23
H (0.3499, 0.0462, 0.7689)  1 B 1.23
H (0.7226, 0.4538, 0.8037)  1 B 1.23
H (0.1501, 0.9189, 0.6963)  1 B 1.23
H (0.7774, 0.5811, 0.7311)  1 B 1.23
H (0.5811, 0.2311, 0.2774)  1 B 1.23
H (0.9189, 0.1963, 0.6501)  1 B 1.23
H (0.4538, 0.3037, 0.2226)  1 B 1.23
H (0.0462, 0.2689, 0.8499)  1 B 1.23
H (0.1963, 0.0462, 0.2774)  1 B 1.23
H (0.2311, 0.4538, 0.6501)  1 B 1.23
H (0.2689, 0.9189, 0.2226)  1 B 1.23
H (0.3037, 0.5811, 0.8499)  1 B 1.23
H (0.1501, 0.2311, 0.9538)  1 B 1.23
H (0.7774, 0.1963, 0.5462)  1 B 1.23
H (0.3499, 0.3037, 0.0811)  1 B 1.23
H (0.7226, 0.2689, 0.4189)  1 B 1.23
H (0.9189, 0.7226, 0.7689)  1 B 1.23
H (0.5811, 0.3499, 0.8037)  1 B 1.23
H (0.0462, 0.7774, 0.6963)  1 B 1.23
H (0.4538, 0.1501, 0.7311)  1 B 1.23
H (0.8037, 0.9538, 0.7226)  1 B 1.23
H (0.7689, 0.5462, 0.3499)  1 B 1.23
H (0.7311, 0.0811, 0.7774)  1 B 1.23
H (0.6963, 0.4189, 0.1501)  1 B 1.23
H (0.8499, 0.7689, 0.0462)  1 B 1.23
H (0.2226, 0.8037, 0.4538)  1 B 1.23
H (0.6501, 0.6963, 0.9189)  1 B 1.23
H (0.2774, 0.7311, 0.5811)  1 B 1.23
H (0.0811, 0.2774, 0.2311)  1 B 1.23
H (0.4189, 0.6501, 0.1963)  1 B 1.23
H (0.9538, 0.2226, 0.3037)  1 B 1.23
H (0.5462, 0.8499, 0.2689)  1 B 1.23
H (0.5623, 0.3205, 0.9816)  1 B 1.23
H (0.8388, 0.5807, 0.5184)  1 B 1.23
H (0.6612, 0.1795, 0.7418)  1 B 1.23
H (0.9377, 0.9193, 0.7582)  1 B 1.23
H (0.5807, 0.0184, 0.3388)  1 B 1.23
H (0.3205, 0.4816, 0.0623)  1 B 1.23
H (0.9193, 0.2582, 0.4377)  1 B 1.23
H (0.1795, 0.2418, 0.1612)  1 B 1.23
H (0.2418, 0.6612, 0.6795)  1 B 1.23
H (0.2582, 0.9377, 0.4193)  1 B 1.23
H (0.4816, 0.5623, 0.8205)  1 B 1.23
H (0.0184, 0.8388, 0.0807)  1 B 1.23
H (0.4377, 0.6795, 0.0184)  1 B 1.23
H (0.1612, 0.4193, 0.4816)  1 B 1.23
H (0.3388, 0.8205, 0.2582)  1 B 1.23
H (0.0623, 0.0807, 0.2418)  1 B 1.23
H (0.4193, 0.9816, 0.6612)  1 B 1.23
H (0.6795, 0.5184, 0.9377)  1 B 1.23
H (0.0807, 0.7418, 0.5623)  1 B 1.23
H (0.8205, 0.7582, 0.8388)  1 B 1.23
H (0.7582, 0.3388, 0.3205)  1 B 1.23
H (0.7418, 0.0623, 0.5807)  1 B 1.23
H (0.5184, 0.4377, 0.1795)  1 B 1.23
H (0.9816, 0.1612, 0.9193)  1 B 1.23
H (0.0623, 0.9816, 0.3205)  1 B 1.23
H (0.3388, 0.5184, 0.5807)  1 B 1.23
H (0.1612, 0.7418, 0.1795)  1 B 1.23
H (0.4377, 0.7582, 0.9193)  1 B 1.23
H (0.0807, 0.3388, 0.0184)  1 B 1.23
H (0.8205, 0.0623, 0.4816)  1 B 1.23
H (0.4193, 0.4377, 0.2582)  1 B 1.23
H (0.6795, 0.1612, 0.2418)  1 B 1.23
H (0.7418, 0.6795, 0.6612)  1 B 1.23
H (0.7582, 0.4193, 0.9377)  1 B 1.23
H (0.9816, 0.8205, 0.5623)  1 B 1.23
H (0.5184, 0.0807, 0.8388)  1 B 1.23
H (0.9377, 0.0184, 0.6795)  1 B 1.23
H (0.6612, 0.4816, 0.4193)  1 B 1.23
H (0.8388, 0.2582, 0.8205)  1 B 1.23
H (0.5623, 0.2418, 0.0807)  1 B 1.23
H (0.9193, 0.6612, 0.9816)  1 B 1.23
H (0.1795, 0.9377, 0.5184)  1 B 1.23
H (0.5807, 0.5623, 0.7418)  1 B 1.23
H (0.3205, 0.8388, 0.7582)  1 B 1.23
H (0.2582, 0.3205, 0.3388)  1 B 1.23
H (0.2418, 0.5807, 0.0623)  1 B 1.23
H (0.0184, 0.1795, 0.4377)  1 B 1.23
H (0.4816, 0.9193, 0.1612)  1 B 1.23

***

Record 7
# MgB2H8

A geometry-optimized MgB2H8 structure (GGA-PBEsol, Alexandria).

**Total magnetization**: 0.000 μB/f.u.

Cell lengths 7.4323, 7.4323, 7.7311 Å; angles 115.47, 115.47, 96.04 degrees
Closest atoms and distances in Å follow each position.
Atoms (fractional coordinates):
H (0.2427, 0.9455, 0.9513)  1 B 1.23
H (0.7086, 0.0058, 0.9513)  1 B 1.23
H (0.9942, 0.2914, 0.0487)  1 B 1.23
H (0.0545, 0.7573, 0.0487)  1 B 1.23
H (0.0665, 0.7256, 0.6252)  1 B 1.23
H (0.5587, 0.8995, 0.6252)  1 B 1.23
H (0.1005, 0.4413, 0.3748)  1 B 1.23
H (0.2744, 0.9335, 0.3748)  1 B 1.23
H (0.9940, 0.9852, 0.7248)  1 B 1.23
H (0.7308, 0.7396, 0.7248)  1 B 1.23
H (0.2604, 0.2692, 0.2752)  1 B 1.23
H (0.0148, 0.0060, 0.2752)  1 B 1.23
H (0.2707, 0.0253, 0.7503)  1 B 1.23
H (0.4796, 0.7250, 0.7503)  1 B 1.23
H (0.2750, 0.5204, 0.2497)  1 B 1.23
H (0.9747, 0.7293, 0.2497)  1 B 1.23
Mg (0.2500, 0.7500, 0.5000)  8 H 2.02-2.06
Mg (0.0000, 0.0000, 0.0000)  8 H 2.04-2.06
B (0.1433, 0.9198, 0.7627)  4 H 1.23
B (0.6194, 0.8430, 0.7627)  4 H 1.23
B (0.1570, 0.3806, 0.2373)  4 H 1.23
B (0.0802, 0.8567, 0.2373)  4 H 1.23

***

Record 8
# MgB3H20N3

A geometry-optimized MgB3H20N3 structure (GGA-PBEsol, Alexandria).

**Total magnetization**: 0.000 μB/f.u.

Cell lengths 5.4389, 9.0602, 9.0715 Å; angles 90.67, 90.09, 90.51 degrees
Closest atoms and distances in Å follow each position.
Atoms (fractional coordinates):
Mg (0.4310, 0.4998, 0.9978)  2 N 2.10-2.11, 6 H 2.12-2.24, 2 B 2.27-2.29
Mg (0.4321, 0.0083, 0.5001)  5 H 2.02-2.21, 2 N 2.09-2.11
B (0.6514, 0.3406, 0.1365)  4 H 1.21-1.24
B (0.6498, 0.6615, 0.8556)  4 H 1.22-1.24
B (0.6824, 0.1722, 0.6515)  4 H 1.22-1.24
B (0.6722, 0.8510, 0.3695)  4 H 1.21-1.25
B (0.1213, 0.9811, 0.0127)  3 H 1.22-1.23
B (0.1099, 0.4861, 0.4824)  3 H 1.22-1.23
H (0.4287, 0.3251, 0.1579)  1 B 1.23
H (0.6908, 0.3212, 0.0030)  1 B 1.24
H (0.1768, 0.2371, 0.3923)  1 N 1.04
H (0.2381, 0.0979, 0.0143)  1 B 1.23
H (0.7643, 0.0865, 0.0480)  1 N 1.03
H (0.6752, 0.6994, 0.9864)  1 B 1.24
H (0.2252, 0.7608, 0.5913)  1 N 1.03
H (0.6632, 0.2931, 0.7104)  1 B 1.22
H (0.8796, 0.1136, 0.6790)  1 B 1.23
H (0.2062, 0.3745, 0.7595)  1 N 1.03
H (0.2040, 0.8935, 0.9226)  1 B 1.22
H (0.8192, 0.0561, 0.8705)  1 N 1.04
H (0.4543, 0.8198, 0.3459)  1 B 1.23
H (0.8092, 0.7645, 0.3091)  1 B 1.21
H (0.2191, 0.6090, 0.2408)  1 N 1.03
H (0.0079, 0.5850, 0.1148)  1 N 1.03
H (0.1300, 0.9289, 0.1367)  1 B 1.23
H (0.7394, 0.9155, 0.9759)  1 N 1.03
H (0.7056, 0.8487, 0.5054)  1 B 1.25
H (0.1859, 0.7330, 0.1088)  1 N 1.03
H (0.2304, 0.6014, 0.4784)  1 B 1.23
H (0.6687, 0.1871, 0.5158)  1 B 1.24
H (0.2274, 0.2546, 0.8959)  1 N 1.03
H (0.0086, 0.3784, 0.8970)  1 N 1.03
H (0.1947, 0.4018, 0.5733)  1 B 1.22
H (0.7277, 0.4261, 0.5261)  1 N 1.03
H (0.7361, 0.5362, 0.8411)  1 B 1.24
H (0.2076, 0.8779, 0.7333)  1 N 1.03
H (0.0114, 0.8880, 0.5945)  1 N 1.03
H (0.8118, 0.5714, 0.6252)  1 N 1.04
H (0.7680, 0.2542, 0.2097)  1 B 1.21
H (0.2341, 0.1176, 0.2574)  1 N 1.03
H (0.0134, 0.0835, 0.3744)  1 N 1.03
H (0.1110, 0.4288, 0.3595)  1 B 1.22
H (0.7555, 0.5921, 0.4472)  1 N 1.03
H (0.5115, 0.0952, 0.7002)  1 B 1.24
H (0.7090, 0.4696, 0.1700)  1 B 1.24
H (0.7108, 0.9779, 0.3255)  1 B 1.24
H (0.4281, 0.6557, 0.8259)  1 B 1.24
H (0.7526, 0.7478, 0.7741)  1 B 1.22
N (0.1897, 0.1256, 0.3677)  3 H 1.03-1.04
N (0.1933, 0.8698, 0.6198)  3 H 1.03
N (0.1917, 0.3637, 0.8724)  3 H 1.03
N (0.1866, 0.6210, 0.1295)  3 H 1.03
N (0.8419, 0.0121, 0.9748)  3 H 1.03-1.04
N (0.8327, 0.5216, 0.5226)  3 H 1.03-1.04

***

no.,VASP energy (eV/cell),N(E_F) (states/eV per cell)
1,-88.6,0.00
2,-176.8,0.00
3,-88.3,0.00
4,-44.1,0.00
5,-88.3,0.00
6,-532.3,0.00
7,-88.6,0.00
8,-245.5,0.00